Material: SrZr2
Method: DFT, PBEsol
State: optimized geometry

Summary:
DFT formation energy = 10.4 kcal/mol of atoms
excess energy over the best structure of this formula in the dataset = 0 meV per atom

abc: 3.767 3.767 6.648
angles: 106.46 106.46 90.00
Atoms (fractional coordinates):
Sr 0.000 0.000 0.000
Zr 0.708 0.708 0.415
Zr 0.292 0.292 0.585

Material: SrZr2
Method: DFT, PBEsol
State: optimized geometry

Summary:
DFT formation energy = 11.8 kcal/mol of atoms
excess energy over the best structure of this formula in the dataset = 59 meV per atom

abc: 5.566 5.566 7.361
angles: 112.22 112.22 90.00
Atoms (fractional coordinates):
Sr 0.250 0.250 0.500
Zr 0.829 0.329 0.000
Zr 0.171 0.671 0.000
Sr 0.750 0.750 0.500
Zr 0.329 0.171 0.000
Zr 0.671 0.829 0.000

Material: SrZr3
Method: DFT, PBEsol
State: optimized geometry

Summary:
DFT formation energy = 6.5 kcal/mol of atoms

abc: 3.234 3.232 10.125
angles: 90.00 90.00 90.00
Atoms (fractional coordinates):
Sr 0.000 0.000 0.000
Zr 0.500 0.500 0.706
Zr 0.500 0.500 0.294
Zr 0.000 0.000 0.500

Material: SrZr
Method: DFT, PBEsol
State: optimized geometry

Summary:
DFT formation energy = 8.1 kcal/mol of atoms
excess energy over the best structure of this formula in the dataset = 0 meV per atom

abc: 3.390 3.390 11.218
angles: 90.00 90.00 90.00
Atoms (fractional coordinates):
Zr 0.500 0.000 0.084
Sr 0.000 0.500 0.344
Sr 0.500 0.000 0.656
Zr 0.000 0.500 0.916

Material: Sr2Zr
Method: DFT, PBEsol
State: optimized geometry

Summary:
DFT formation energy = 12.0 kcal/mol of atoms
excess energy over the best structure of this formula in the dataset = 14 meV per atom

abc: 3.544 3.544 17.311
angles: 95.87 95.87 90.00
Atoms (fractional coordinates):
Sr 0.677 0.177 0.354
Sr 0.427 0.427 0.854
Sr 0.823 0.323 0.646
Zr 0.250 0.750 0.500
Zr 0.000 0.000 0.000
Sr 0.573 0.573 0.146

Material: Sr2Zr
Method: DFT, PBEsol
State: optimized geometry

Summary:
DFT formation energy = 17.9 kcal/mol of atoms
excess energy over the best structure of this formula in the dataset = 270 meV per atom

abc: 3.517 5.951 5.951
angles: 90.00 90.00 90.00
Each line ends with the local moment (μB).
Atoms (fractional coordinates):
Sr 0.500 0.000 0.500  0.02
Sr 0.500 0.500 0.000  0.02
Zr 0.000 0.000 0.000  0.28

Material: Sr3Zr2
Method: DFT, PBEsol
State: optimized geometry

Summary:
DFT formation energy = 16.4 kcal/mol of atoms

abc: 5.480 5.480 7.489
angles: 90.00 90.00 120.00
Each line ends with the local moment (μB).
Atoms (fractional coordinates):
Zr 0.667 0.333 0.078  0.52
Sr 0.667 0.333 0.646  0.04
Sr 0.000 0.000 0.000  0.02
Sr 0.333 0.667 0.354  0.04
Zr 0.333 0.667 0.922  0.52

Material: Sr3Zr
Method: DFT, PBEsol
State: optimized geometry

Summary:
DFT formation energy = 12.5 kcal/mol of atoms

abc: 5.419 5.419 5.419
angles: 90.00 90.00 90.00
Each line ends with the local moment (μB).
Atoms (fractional coordinates):
Sr 0.500 0.000 0.500  0.06
Sr 0.000 0.500 0.500  0.06
Zr 0.000 0.000 0.000  1.15
Sr 0.500 0.500 0.000  0.06

Material: Sr2Zr
Method: DFT, PBEsol
State: optimized geometry

Summary:
DFT formation energy = 11.7 kcal/mol of atoms
excess energy over the best structure of this formula in the dataset = 0 meV per atom

abc: 3.641 3.641 9.183
angles: 90.00 90.00 120.00
Atoms (fractional coordinates):
Sr 0.333 0.667 0.302
Zr 0.000 0.000 0.000
Sr 0.667 0.333 0.698

Material: SrZr
Method: DFT, PBEsol
State: optimized geometry

Summary:
DFT formation energy = 13.8 kcal/mol of atoms
excess energy over the best structure of this formula in the dataset = 246 meV per atom

abc: 4.716 6.005 6.005
angles: 60.82 66.88 66.88
Atoms (fractional coordinates):
Sr 0.096 0.654 0.154
Sr 0.904 0.346 0.846
Zr 0.686 0.064 0.564
Zr 0.314 0.936 0.436

Material: SrZr3
Method: DFT, PBEsol
State: optimized geometry

Summary:
DFT formation energy = 8.5 kcal/mol of atoms

abc: 3.203 5.140 6.480
angles: 90.00 90.00 90.00
Atoms (fractional coordinates):
Zr 0.000 0.500 0.357
Zr 0.500 0.000 0.534
Sr 0.000 0.000 0.030
Zr 0.500 0.500 0.746

Material: SrZr3
Method: DFT, PBEsol
State: optimized geometry

Summary:
DFT formation energy = 8.2 kcal/mol of atoms

abc: 3.160 5.463 6.469
angles: 94.99 90.00 106.81
Atoms (fractional coordinates):
Zr 0.238 0.476 0.694
Sr 0.000 0.000 0.000
Zr 0.500 0.000 0.500
Zr 0.762 0.524 0.306